A relaxed structure of P3PdRh. Source: Alexandria via LeMat-Bulk, functional PBE-GGA.

The structure in CIF format:
```
data_P3PdRh
_chemical_formula_sum 'P3 Pd1 Rh1'
_cell_length_a 4.556
_cell_length_b 4.556
_cell_length_c 4.556
_cell_angle_alpha 90.00
_cell_angle_beta 90.00
_cell_angle_gamma 90.00
_space_group_name_H-M_alt 'P m -3 m'
_space_group_IT_number 221
_space_group_name_Hall '-P 4 2 3'
loop_
_atom_site_label
_atom_site_type_symbol
_atom_site_fract_x
_atom_site_fract_y
_atom_site_fract_z
P1 P 0.000 0.000 0.500
Pd1 Pd 0.500 0.500 0.500
Rh1 Rh 0.000 0.000 0.000
```



A relaxed structure of RbPaZnN3. Source: Alexandria via LeMat-Bulk, functional PBE-GGA.

The structure in CIF format:
```
data_RbPaZnN3
_chemical_formula_sum 'Rb2 Pa2 Zn2 N6'
_cell_length_a 8.229
_cell_length_b 3.620
_cell_length_c 8.344
_cell_angle_alpha 90.00
_cell_angle_beta 107.76
_cell_angle_gamma 90.00
_space_group_name_H-M_alt 'P 1 21/m 1'
_space_group_IT_number 11
_space_group_name_Hall '-P 2yb'
loop_
_atom_site_label
_atom_site_type_symbol
_atom_site_fract_x
_atom_site_fract_y
_atom_site_fract_z
Rb1 Rb 0.213 0.250 0.238
Pa1 Pa 0.332 0.750 0.852
Zn1 Zn 0.067 0.250 0.617
N1 N 0.159 0.750 0.563
N2 N 0.169 0.250 0.866
N3 N 0.488 0.750 0.127
```

ΔE_f (raw) (meV/atom): -551



A relaxed structure of Mg2HPd4Au2. Source: Alexandria via LeMat-Bulk, functional PBE-GGA.

The structure in CIF format:
```
data_Mg2HPd4Au2
_chemical_formula_sum 'Mg4 H2 Pd8 Au4'
_cell_length_a 5.717
_cell_length_b 5.717
_cell_length_c 8.071
_cell_angle_alpha 90.00
_cell_angle_beta 90.00
_cell_angle_gamma 90.00
_space_group_name_H-M_alt 'I 4/m m m'
_space_group_IT_number 139
_space_group_name_Hall '-I 4 2'
loop_
_atom_site_label
_atom_site_type_symbol
_atom_site_fract_x
_atom_site_fract_y
_atom_site_fract_z
Mg1 Mg 0.000 0.000 0.231
H1 H 0.000 0.000 0.500
Pd1 Pd 0.246 0.246 0.500
Au1 Au 0.000 0.500 0.250
```



A relaxed structure of BiAuIN2. Source: Alexandria via LeMat-Bulk, functional PBE-GGA.

The structure in CIF format:
```
data_BiAuIN2
_chemical_formula_sum 'Bi1 Au1 I1 N2'
_cell_length_a 4.245
_cell_length_b 4.245
_cell_length_c 7.774
_cell_angle_alpha 90.00
_cell_angle_beta 90.00
_cell_angle_gamma 90.00
_space_group_name_H-M_alt 'P 4/m m m'
_space_group_IT_number 123
_space_group_name_Hall '-P 4 2'
loop_
_atom_site_label
_atom_site_type_symbol
_atom_site_fract_x
_atom_site_fract_y
_atom_site_fract_z
Bi1 Bi 0.000 0.000 0.000
Au1 Au 0.500 0.500 0.500
I1 I 0.000 0.000 0.500
N1 N 0.000 0.500 0.000
```

ΔE_f (raw) (meV/atom): 1538



A relaxed structure of TaSeBr2. Source: Alexandria via LeMat-Bulk, functional PBE-GGA.

The structure in CIF format:
```
data_TaSeBr2
_chemical_formula_sum 'Ta1 Se1 Br2'
_cell_length_a 3.117
_cell_length_b 3.117
_cell_length_c 9.399
_cell_angle_alpha 90.00
_cell_angle_beta 90.00
_cell_angle_gamma 90.00
_space_group_name_H-M_alt 'P 4/m m m'
_space_group_IT_number 123
_space_group_name_Hall '-P 4 2'
loop_
_atom_site_label
_atom_site_type_symbol
_atom_site_fract_x
_atom_site_fract_y
_atom_site_fract_z
Ta1 Ta 0.000 0.000 0.000
Se1 Se 0.000 0.000 0.500
Br1 Br 0.500 0.500 0.176
```

ΔE_f (raw) (meV/atom): 52



A relaxed structure of CdIn2Pt2. Source: Alexandria via LeMat-Bulk, functional PBE-GGA.

The structure in CIF format:
```
data_CdIn2Pt2
_chemical_formula_sum 'Cd1 In2 Pt2'
_cell_length_a 4.6149
_cell_length_b 4.6149
_cell_length_c 5.5856
_cell_angle_alpha 90.00
_cell_angle_beta 90.00
_cell_angle_gamma 120.00
_space_group_name_H-M_alt 'P -3 m 1'
_space_group_IT_number 164
_space_group_name_Hall '-P 3 2"'
loop_
_atom_site_label
_atom_site_type_symbol
_atom_site_fract_x
_atom_site_fract_y
_atom_site_fract_z
Cd1 Cd 0.0000 0.0000 0.0000
In1 In 0.3333 0.6667 0.3416
Pt1 Pt 0.3333 0.6667 0.8308
```



| no. | total energy (eV per atom) |
| --- | --- |
| 1 | -5.041 |
| 2 | -6.670 |
| 3 | -4.258 |
| 4 | -3.534 |
| 5 | -4.619 |
| 6 | -4.139 |